A plane-wave DFT calculation with PBE was carried out for a geometry-optimized NiAg3 structure.

Results
ΔE_f	20.2	kJ per mole of atoms

The structure in CIF format:
```
data_NiAg3
_chemical_formula_sum 'Ni1 Ag3'
_space_group_name_H-M_alt 'P m -3 m'
_space_group_IT_number 221
_space_group_name_Hall '-P 4 2 3'
_cell_length_a 4.015
_cell_length_b 4.015
_cell_length_c 4.015
_cell_angle_alpha 90.00
_cell_angle_beta 90.00
_cell_angle_gamma 90.00
loop_
_atom_site_label
_atom_site_fract_x
_atom_site_fract_y
_atom_site_fract_z
_atom_site_occupancy
Ni1 0.000 0.000 0.000 1
Ag1 0.000 0.500 0.500 1
```


A plane-wave DFT calculation with PBE was carried out for a geometry-optimized Rb2SrCoBr6 structure.

Results
formation energy from raw total energies	-13.586	eV/f.u.

The structure in CIF format:
```
data_Rb2SrCoBr6
_chemical_formula_sum 'Rb8 Sr4 Co4 Br24'
_space_group_name_H-M_alt 'F m -3 m'
_space_group_IT_number 225
_space_group_name_Hall '-F 4 2 3'
_cell_length_a 11.183
_cell_length_b 11.183
_cell_length_c 11.183
_cell_angle_alpha 90.00
_cell_angle_beta 90.00
_cell_angle_gamma 90.00
loop_
_atom_site_label
_atom_site_fract_x
_atom_site_fract_y
_atom_site_fract_z
_atom_site_occupancy
Rb1 0.250 0.250 0.250 1
Sr1 0.000 0.000 0.000 1
Co1 0.000 0.000 0.500 1
Br1 0.000 0.000 0.268 1
```


A plane-wave DFT calculation with PBE was carried out for a geometry-optimized Bi2Pd2Pb structure.

Results
ΔE_f	-10.3	kJ per mole of atoms
energy above the most stable polymorph in this dataset	110	meV per atom

The structure in CIF format:
```
data_Bi2Pd2Pb
_chemical_formula_sum 'Bi6 Pd6 Pb3'
_space_group_name_H-M_alt 'R -3 m'
_space_group_IT_number 166
_space_group_name_Hall '-R 3 2"'
_cell_length_a 5.0614
_cell_length_b 5.0614
_cell_length_c 15.9405
_cell_angle_alpha 90.00
_cell_angle_beta 90.00
_cell_angle_gamma 120.00
loop_
_atom_site_label
_atom_site_fract_x
_atom_site_fract_y
_atom_site_fract_z
_atom_site_occupancy
Bi1 0.0000 0.0000 0.2240 1
Pd1 0.0000 0.0000 0.4113 1
Pb1 0.0000 0.0000 0.0000 1
```


A plane-wave DFT calculation with PBE was carried out for a geometry-optimized Ge3HBr structure.

Results
energy above the most stable polymorph in this dataset	822	meV per atom

The structure in CIF format:
```
data_Ge3HBr
_chemical_formula_sum 'Ge3 H1 Br1'
_space_group_name_H-M_alt 'P m -3 m'
_space_group_IT_number 221
_space_group_name_Hall '-P 4 2 3'
_cell_length_a 5.274
_cell_length_b 5.274
_cell_length_c 5.274
_cell_angle_alpha 90.00
_cell_angle_beta 90.00
_cell_angle_gamma 90.00
loop_
_atom_site_label
_atom_site_fract_x
_atom_site_fract_y
_atom_site_fract_z
_atom_site_occupancy
Ge1 0.000 0.000 0.500 1
H1 0.500 0.500 0.500 1
Br1 0.000 0.000 0.000 1
```


A plane-wave DFT calculation with PBE was carried out for a geometry-optimized SrCa2TiAg structure.

Results
ΔE_f	46.0	kJ per mole of atoms

The structure in CIF format:
```
data_SrCa2TiAg
_chemical_formula_sum 'Sr1 Ca2 Ti1 Ag1'
_space_group_name_H-M_alt 'P 4/m m m'
_space_group_IT_number 123
_space_group_name_Hall '-P 4 2'
_cell_length_a 5.716
_cell_length_b 5.716
_cell_length_c 5.945
_cell_angle_alpha 90.00
_cell_angle_beta 90.00
_cell_angle_gamma 90.00
loop_
_atom_site_label
_atom_site_fract_x
_atom_site_fract_y
_atom_site_fract_z
_atom_site_occupancy
Sr1 0.000 0.000 0.000 1
Ca1 0.000 0.500 0.500 1
Ti1 0.500 0.500 0.000 1
Ag1 0.000 0.000 0.500 1
```


A plane-wave DFT calculation with PBE was carried out for a geometry-optimized RbNbCd2 structure.

Results
ΔE_f	88.5	kJ per mole of atoms
energy above the most stable polymorph in this dataset	44	meV per atom

The structure in CIF format:
```
data_RbNbCd2
_chemical_formula_sum 'Rb4 Nb4 Cd8'
_space_group_name_H-M_alt 'I -4 2 d'
_space_group_IT_number 122
_space_group_name_Hall 'I -4 2bw'
_cell_length_a 5.756
_cell_length_b 5.756
_cell_length_c 20.201
_cell_angle_alpha 90.00
_cell_angle_beta 90.00
_cell_angle_gamma 90.00
loop_
_atom_site_label
_atom_site_fract_x
_atom_site_fract_y
_atom_site_fract_z
_atom_site_occupancy
Rb1 0.000 0.000 0.000 1
Nb1 0.000 0.000 0.500 1
Cd1 0.006 0.250 0.625 1
```


A plane-wave DFT calculation with PBE was carried out for a geometry-optimized Cs2KB2Se6 structure.

Results
formation energy from raw total energies	-6.599	eV/f.u.

The structure in CIF format:
```
data_Cs2KB2Se6
_chemical_formula_sum 'Cs4 K2 B4 Se12'
_space_group_name_H-M_alt 'C 1 2/m 1'
_space_group_IT_number 12
_cell_length_a 13.562
_cell_length_b 6.059
_cell_length_c 11.116
_cell_angle_alpha 90.00
_cell_angle_beta 121.81
_cell_angle_gamma 90.00
loop_
_space_group_symop_operation_xyz
'x,y,z'
'-x,-y,-z'
'-x,y,-z'
'x,-y,z'
'x+1/2,y+1/2,z'
'-x+1/2,-y+1/2,-z'
'-x+1/2,y+1/2,-z'
'x+1/2,-y+1/2,z'
loop_
_atom_site_label
_atom_site_fract_x
_atom_site_fract_y
_atom_site_fract_z
_atom_site_occupancy
Cs1 0.195 0.000 0.166 1
K1 0.000 0.000 0.500 1
B1 0.070 0.500 0.311 1
Se1 0.035 0.250 0.791 1
Se2 0.229 0.500 0.467 1
```


A plane-wave DFT calculation with PBE was carried out for a geometry-optimized PbSe2Br structure.

Results
energy above the most stable polymorph in this dataset	10	meV per atom
formation energy from raw total energies	-1.304	eV/f.u.

The structure in CIF format:
```
data_PbSe2Br
_chemical_formula_sum 'Pb2 Se4 Br2'
_space_group_name_H-M_alt 'I m m 2'
_space_group_IT_number 44
_cell_length_a 4.321
_cell_length_b 5.937
_cell_length_c 12.105
_cell_angle_alpha 90.00
_cell_angle_beta 90.00
_cell_angle_gamma 90.00
loop_
_space_group_symop_operation_xyz
'x,y,z'
'-x,-y,z'
'-x,y,z'
'x,-y,z'
'x+1/2,y+1/2,z+1/2'
'-x+1/2,-y+1/2,z+1/2'
'-x+1/2,y+1/2,z+1/2'
'x+1/2,-y+1/2,z+1/2'
loop_
_atom_site_label
_atom_site_fract_x
_atom_site_fract_y
_atom_site_fract_z
_atom_site_occupancy
Pb1 0.000 0.000 0.000 1
Se1 0.000 0.000 0.567 1
Se2 0.000 0.500 0.964 1
Br1 0.000 0.500 0.340 1
```